(1)
CaTe2Cl after structural relaxation. Source: Alexandria via LeMat-Bulk, functional PBE-GGA.

```
4
Lattice="3.581 0.000 0.000 0.000 3.581 0.000 0.000 0.000 9.460" Properties=species:S:1:pos:R:3 pbc="T T T"
Ca 0.000 0.000 0.000
Te 0.000 0.000 5.121
Te 1.790 1.790 7.297
Cl 1.790 1.790 1.367
```

Properties
- Uncorrected formation energy: -883 meV/atom
- ΔE to the lowest computed polymorph: 198 meV/atom

***

(2)
SrCd2H after structural relaxation. Source: Alexandria via LeMat-Bulk, functional PBE-GGA.

```
16
Lattice="7.560 0.000 0.000 0.000 7.560 0.000 0.000 0.000 7.560" Properties=species:S:1:pos:R:3 pbc="T T T"
Sr 0.000 0.000 0.000
Sr 0.000 3.780 3.780
Sr 3.780 0.000 3.780
Sr 3.780 3.780 0.000
Cd 1.890 1.890 1.890
Cd 1.890 1.890 5.670
Cd 1.890 5.670 1.890
Cd 1.890 5.670 5.670
Cd 5.670 1.890 1.890
Cd 5.670 1.890 5.670
Cd 5.670 5.670 1.890
Cd 5.670 5.670 5.670
H 0.000 0.000 3.780
H 0.000 3.780 0.000
H 3.780 0.000 0.000
H 3.780 3.780 3.780
```

Properties
- ΔE to the lowest computed polymorph: 234 meV/atom

***

(3)
RbBaI2O after structural relaxation. Source: Alexandria via LeMat-Bulk, functional PBE-GGA.

```
5
Lattice="6.993 0.000 0.000 0.000 6.993 0.000 0.000 0.000 4.599" Properties=species:S:1:pos:R:3 pbc="T T T"
Rb 0.000 0.000 0.000
Ba 3.496 3.496 2.299
I 0.000 3.496 2.299
I 3.496 0.000 2.299
O 3.496 3.496 0.000
```

Properties
- Uncorrected formation energy: -1368 meV/atom
- ΔE to the lowest computed polymorph: 0 meV/atom

***

Number 1: final energy -13.664 eV per cell, magnetization 0.00 Bohr magnetons per cell, Fermi-level density of states 0.98 states/eV per cell. Number 2: final energy -21.736 eV per cell, magnetization 0.00 Bohr magnetons per cell, Fermi-level density of states 12.02 states/eV per cell. Number 3: final energy -17.788 eV per cell, magnetization 0.23 Bohr magnetons per cell, Fermi-level density of states 6.03 states/eV per cell.